The following is a PBE-GGA calculation of Na3Sc2PtO6 after structural relaxation, from Alexandria.

Values from the calculation:
- E: -6.496 eV per atom
- Energy relative to the elements, uncorrected: -2.129 eV per atom
- DOS(E_F): 0.008 states/eV/atom
- Volume: 12.01 Å³ per atom
- Space-group type: C2/m

Structure (CIF):
```
data_Na3Sc2PtO6
_symmetry_space_group_name_H-M 'P 1'
_symmetry_Int_Tables_number 1
_cell_length_a 5.520
_cell_length_b 5.520
_cell_length_c 5.761
_cell_angle_alpha 98.43
_cell_angle_beta 98.43
_cell_angle_gamma 120.70
loop_
_symmetry_equiv_pos_as_xyz
'x,y,z'
loop_
_atom_site_label
_atom_site_type_symbol
_atom_site_fract_x
_atom_site_fract_y
_atom_site_fract_z
_atom_site_occupancy
Na1 Na 0.161 0.839 0.500 1
Na2 Na 0.839 0.161 0.500 1
Na3 Na 0.500 0.500 0.500 1
Sc1 Sc 0.330 0.670 0.000 1
Sc2 Sc 0.670 0.330 0.000 1
Pt1 Pt 0.000 0.000 0.000 1
O1 O 0.928 0.578 0.784 1
O2 O 0.736 0.736 0.200 1
O3 O 0.072 0.422 0.216 1
O4 O 0.578 0.928 0.784 1
O5 O 0.264 0.264 0.800 1
O6 O 0.422 0.072 0.216 1
```

***

The following is a PBE-GGA calculation of Mg3Sc2Au4 after structural relaxation, from Alexandria.

Values from the calculation:
- E: -4.029 eV per atom
- Energy above the lowest structure with this stoichiometry: 0 meV per atom
- DOS(E_F): 0.624 states/eV/atom
- Volume: 19.25 Å³ per atom
- Space-group type: P-1

Structure (CIF):
```
data_Mg3Sc2Au4
_symmetry_space_group_name_H-M 'P 1'
_symmetry_Int_Tables_number 1
_cell_length_a 4.701
_cell_length_b 4.725
_cell_length_c 8.998
_cell_angle_alpha 89.69
_cell_angle_beta 90.10
_cell_angle_gamma 60.10
loop_
_symmetry_equiv_pos_as_xyz
'x,y,z'
loop_
_atom_site_label
_atom_site_type_symbol
_atom_site_fract_x
_atom_site_fract_y
_atom_site_fract_z
_atom_site_occupancy
Mg1 Mg 0.336 0.329 0.422 1
Mg2 Mg 0.000 0.000 0.000 1
Mg3 Mg 0.664 0.671 0.578 1
Sc1 Sc 0.332 0.336 0.788 1
Sc2 Sc 0.668 0.664 0.212 1
Au1 Au 0.665 0.669 0.896 1
Au2 Au 0.004 0.994 0.339 1
Au3 Au 0.996 0.006 0.661 1
Au4 Au 0.335 0.331 0.104 1
```

***

The following is a PBE-GGA calculation of Ba2Li5Tl4 after structural relaxation, from Alexandria.

Values from the calculation:
- E: -2.340 eV per atom
- DOS(E_F): 0.463 states/eV/atom
- Volume: 28.11 Å³ per atom
- Space-group type: Fmmm

Structure (CIF):
```
data_Ba2Li5Tl4
_symmetry_space_group_name_H-M 'P 1'
_symmetry_Int_Tables_number 1
_cell_length_a 6.212
_cell_length_b 6.212
_cell_length_c 9.560
_cell_angle_alpha 100.23
_cell_angle_beta 100.23
_cell_angle_gamma 116.96
loop_
_symmetry_equiv_pos_as_xyz
'x,y,z'
loop_
_atom_site_label
_atom_site_type_symbol
_atom_site_fract_x
_atom_site_fract_y
_atom_site_fract_z
_atom_site_occupancy
Ba1 Ba 0.852 0.852 0.704 1
Ba2 Ba 0.148 0.148 0.296 1
Li1 Li 0.500 0.500 0.000 1
Li2 Li 0.500 0.000 0.000 1
Li3 Li 0.000 0.500 0.000 1
Li4 Li 0.750 0.250 0.500 1
Li5 Li 0.250 0.750 0.500 1
Tl1 Tl 0.471 0.786 0.257 1
Tl2 Tl 0.529 0.214 0.743 1
Tl3 Tl 0.214 0.529 0.743 1
Tl4 Tl 0.786 0.471 0.257 1
```

***

The following is a PBE-GGA calculation of PrErIr2 after structural relaxation, from Alexandria.

Values from the calculation:
- E: -7.412 eV per atom
- Energy above the lowest structure with this stoichiometry: 14 meV per atom
- DOS(E_F): 0.623 states/eV/atom
- Volume: 21.25 Å³ per atom
- Space-group type: Fm-3m

Structure (CIF):
```
data_PrErIr2
_symmetry_space_group_name_H-M 'P 1'
_symmetry_Int_Tables_number 1
_cell_length_a 4.935
_cell_length_b 4.935
_cell_length_c 4.935
_cell_angle_alpha 60.00
_cell_angle_beta 60.00
_cell_angle_gamma 60.00
loop_
_symmetry_equiv_pos_as_xyz
'x,y,z'
loop_
_atom_site_label
_atom_site_type_symbol
_atom_site_fract_x
_atom_site_fract_y
_atom_site_fract_z
_atom_site_occupancy
Pr1 Pr 0.500 0.500 0.500 1
Ir1 Ir 0.250 0.250 0.250 1
Ir2 Ir 0.750 0.750 0.750 1
Er1 Er 0.000 0.000 0.000 1
```